# CoIr2PdF, optimized geometry, DFT PBE+U
# E_tot (eV per atom): -4.809
data_CoIr2PdF
_chemical_formula_sum 'Co1 Ir2 Pd1 F1'
_cell_length_a 4.206
_cell_length_b 4.206
_cell_length_c 4.392
_cell_angle_alpha 90.00
_cell_angle_beta 90.00
_cell_angle_gamma 90.00
_space_group_name_H-M_alt 'P 4/m m m'
_space_group_IT_number 123
_space_group_name_Hall '-P 4 2'
loop_
_atom_site_label
_atom_site_fract_x
_atom_site_fract_y
_atom_site_fract_z
_atom_site_occupancy
Co1 0.000 0.000 0.000 1
Ir1 0.000 0.500 0.500 1
Pd1 0.500 0.500 0.000 1
F1 0.500 0.500 0.500 1